1.
# YSn2P2Pt7 PBE optimized geometry
# Spin magnetization, Bohr magnetons per cell: 0.00
# Formation enthalpy at 0 K, kJ/mol of formula units: -799
data_YSn2P2Pt7
_symmetry_space_group_name_H-M 'C 1 2/m 1'
_symmetry_Int_Tables_number 12
_symmetry_space_group_name_Hall '-C 2y'
_cell_length_a 5.579
_cell_length_b 5.576
_cell_length_c 15.321
_cell_angle_alpha 90.00
_cell_angle_beta 100.43
_cell_angle_gamma 90.00
loop_
_atom_site_label
_atom_site_type_symbol
_atom_site_fract_x
_atom_site_fract_y
_atom_site_fract_z
Y1 Y 0.000 0.000 0.000
Sn1 Sn 0.213 0.000 0.425
P1 P 0.118 0.500 0.236
Pt1 Pt 0.000 0.500 0.000
Pt2 Pt 0.176 0.250 0.852
Pt3 Pt 0.195 0.500 0.389

---

2.
# MgInNi2 PBE optimized geometry
# Spin magnetization, Bohr magnetons per cell: 0.00
# Formation enthalpy at 0 K, kJ/mol of formula units: -42
data_MgInNi2
_symmetry_space_group_name_H-M 'C 1 m 1'
_symmetry_Int_Tables_number 8
_symmetry_space_group_name_Hall 'C -2y'
_cell_length_a 9.595
_cell_length_b 3.027
_cell_length_c 4.418
_cell_angle_alpha 90.00
_cell_angle_beta 109.29
_cell_angle_gamma 90.00
loop_
_atom_site_label
_atom_site_type_symbol
_atom_site_fract_x
_atom_site_fract_y
_atom_site_fract_z
Mg1 Mg 0.000 0.000 0.000
In1 In 0.282 0.500 0.345
Ni1 Ni 0.030 0.500 0.523
Ni2 Ni 0.246 0.000 0.818

---

3.
# RbH2IrCl8 PBE optimized geometry
# Spin magnetization, Bohr magnetons per cell: 2.04
# Energy, eV/atom: -3.2922
data_RbH2IrCl8
_symmetry_space_group_name_H-M 'P -1'
_symmetry_Int_Tables_number 2
_symmetry_space_group_name_Hall '-P 1'
_cell_length_a 6.468
_cell_length_b 6.882
_cell_length_c 7.697
_cell_angle_alpha 86.05
_cell_angle_beta 78.24
_cell_angle_gamma 81.21
loop_
_atom_site_label
_atom_site_type_symbol
_atom_site_fract_x
_atom_site_fract_y
_atom_site_fract_z
Rb1 Rb 0.000 0.000 0.000
H1 H 0.351 0.388 0.204
Ir1 Ir 0.500 0.000 0.500
Cl1 Cl 0.155 0.160 0.557
Cl2 Cl 0.197 0.445 0.115
Cl3 Cl 0.386 0.723 0.663
Cl4 Cl 0.442 0.879 0.243

---

One value per record, in order, for N(E_F): 0.288, 0.842, 0.544 states/eV per atom.